A plane-wave DFT calculation with GGA+U was carried out for Cs5FeO4 after structural relaxation.

a = 7.457 Å, b = 9.390 Å, c = 8.306 Å
α = 90.00°, β = 90.00°, γ = 90.00°
Fractional positions:
O (0.699, 0.500, 0.301)
Fe (0.836, 0.500, 0.500)
O (0.028, 0.820, 0.000)
O (0.972, 0.320, 0.500)
O (0.301, 0.000, 0.199)
Cs (0.109, 0.000, 0.500)
Cs (0.258, 0.703, 0.750)
Cs (0.258, 0.703, 0.250)
Cs (0.258, 0.297, 0.750)
Cs (0.742, 0.797, 0.750)
Cs (0.742, 0.797, 0.250)
O (0.301, 0.000, 0.801)
Cs (0.742, 0.203, 0.250)
Fe (0.164, 0.000, 0.000)
O (0.972, 0.680, 0.500)
Cs (0.258, 0.297, 0.250)
Cs (0.742, 0.203, 0.750)
Cs (0.891, 0.500, 0.000)
O (0.028, 0.180, 0.000)
O (0.699, 0.500, 0.699)

Offset from the most stable computed form in meV per atom: 76
Final energy in eV/atom: -4.153
M_tot in μB/f.u.: 5.0